a:
A relaxed structure of PmDy5Tm2, computed with GGA-PBE.

## Properties
DOS at the Fermi energy: 1.625 states/eV per atom
V: 31.6 A^3/atom
crystal system: triclinic
SG: P-1 (2)
M_tot: 0.00 μB per cell

Lattice parameters (Å, degrees): 8.399 15.856 10.030 83.29 100.38 157.17
Fractional positions:
Pm 0.772 0.559 0.808
Pm 0.228 0.441 0.192
Dy 0.454 0.612 0.860
Dy 0.050 0.890 0.639
Dy 0.296 0.640 0.390
Dy 0.521 0.810 0.056
Dy 0.268 0.057 0.308
Dy 0.732 0.943 0.692
Dy 0.704 0.360 0.610
Dy 0.479 0.190 0.944
Dy 0.546 0.388 0.140
Dy 0.950 0.110 0.361
Tm 0.981 0.693 0.442
Tm 0.204 0.861 0.113
Tm 0.019 0.307 0.558
Tm 0.796 0.139 0.887

---

b:
A relaxed structure of PmDy5Tm2, computed with GGA-PBE.

## Properties
DOS at the Fermi energy: 1.231 states/eV per atom
V: 31.4 A^3/atom
crystal system: orthorhombic
SG: Pbam (55)
M_tot: 0.00 μB per cell

Lattice parameters (Å, degrees): 4.998 7.086 14.173 90.00 90.00 90.00
Fractional positions:
Pm 0.000 0.000 0.500
Pm 0.000 0.500 0.000
Dy 0.000 0.000 0.000
Dy 0.000 0.500 0.500
Dy 0.000 0.498 0.749
Dy 0.000 0.502 0.251
Dy 0.000 0.002 0.249
Dy 0.000 0.998 0.751
Dy 0.500 0.248 0.874
Dy 0.500 0.752 0.126
Dy 0.500 0.252 0.374
Dy 0.500 0.748 0.626
Tm 0.500 0.249 0.625
Tm 0.500 0.751 0.375
Tm 0.500 0.251 0.125
Tm 0.500 0.749 0.875

---

Which of them is the most stable, and which is the least stable? b and a, in that order.

---

a:
A relaxed structure of Pm7Dy2Tm2, computed with GGA-PBE.

## Properties
DOS at the Fermi energy: 1.486 states/eV per atom
V: 33.8 A^3/atom
crystal system: monoclinic
SG: C2/m (12)
M_tot: 0.00 μB per cell

Lattice parameters (Å, degrees): 8.720 6.589 6.589 92.21 82.75 82.75
Fractional positions:
Pm 0.208 0.084 0.455
Pm 0.792 0.545 0.916
Pm 0.792 0.916 0.545
Pm 0.208 0.455 0.084
Pm 0.000 0.000 0.000
Pm 0.415 0.844 0.844
Pm 0.585 0.156 0.156
Dy 0.857 0.391 0.391
Dy 0.143 0.609 0.609
Tm 0.500 0.325 0.675
Tm 0.500 0.675 0.325

---

b:
A relaxed structure of Pm7Dy2Tm2, computed with GGA-PBE.

## Properties
DOS at the Fermi energy: 1.475 states/eV per atom
V: 33.6 A^3/atom
crystal system: orthorhombic
SG: Imm2 (44)
M_tot: 0.00 μB per cell

Lattice parameters (Å, degrees): 5.631 8.170 9.434 115.66 107.36 90.00
Fractional positions:
Pm 0.135 0.052 0.270
Pm 0.133 0.458 0.265
Pm 0.500 0.921 0.000
Pm 0.337 0.460 0.674
Pm 0.663 0.786 0.326
Pm 0.865 0.783 0.730
Pm 0.867 0.193 0.735
Dy 0.299 0.920 0.598
Dy 0.701 0.323 0.402
Tm 0.000 0.622 0.000
Tm 0.500 0.337 0.000

---

Which of them is the most stable, and which is the least stable? a and b, in that order.

---

a:
A relaxed structure of Pm3DyTm6, computed with GGA-PBE.

## Properties
DOS at the Fermi energy: 1.971 states/eV per atom
V: 32.1 A^3/atom
crystal system: trigonal
SG: R-3 (148)
M_tot: 0.00 μB per cell

Lattice parameters (Å, degrees): 9.814 9.814 6.847 44.22 44.22 60.00
Fractional positions:
Pm 0.350 0.350 0.950
Pm 0.600 0.600 0.200
Pm 0.100 0.100 0.699
Dy 0.850 0.850 0.450
Tm 0.928 0.603 0.200
Tm 0.270 0.928 0.200
Tm 0.603 0.270 0.200
Tm 0.097 0.430 0.701
Tm 0.772 0.097 0.701
Tm 0.430 0.772 0.701

---

b:
A relaxed structure of Pm3DyTm6, computed with GGA-PBE.

## Properties
DOS at the Fermi energy: 1.452 states/eV per atom
V: 32.1 A^3/atom
crystal system: orthorhombic
SG: Cmc2_1 (36)
M_tot: 0.00 μB per cell

Lattice parameters (Å, degrees): 6.195 10.907 10.907 119.57 90.00 90.00
Fractional positions:
Pm 0.460 0.938 0.718
Pm 0.960 0.718 0.938
Pm 0.065 0.392 0.608
Pm 0.565 0.608 0.392
Pm 0.960 0.062 0.282
Pm 0.460 0.282 0.062
Dy 0.143 0.206 0.794
Dy 0.643 0.794 0.206
Tm 0.036 0.712 0.616
Tm 0.536 0.616 0.712
Tm 0.368 0.538 0.960
Tm 0.868 0.960 0.538
Tm 0.409 0.954 0.046
Tm 0.640 0.281 0.719
Tm 0.140 0.719 0.281
Tm 0.909 0.046 0.954
Tm 0.368 0.040 0.462
Tm 0.868 0.462 0.040
Tm 0.036 0.384 0.288
Tm 0.536 0.288 0.384

---

Which of them is the most stable, and which is the least stable? b and a, in that order.

---

a:
A relaxed structure of PmDy6Tm3, computed with GGA-PBE.

## Properties
DOS at the Fermi energy: 1.363 states/eV per atom
V: 31.8 A^3/atom
crystal system: orthorhombic
SG: Cmc2_1 (36)
M_tot: 0.00 μB per cell

Lattice parameters (Å, degrees): 6.164 10.907 10.907 119.73 90.00 90.00
Fractional positions:
Pm 0.153 0.207 0.793
Pm 0.653 0.793 0.207
Dy 0.032 0.710 0.619
Dy 0.532 0.619 0.710
Dy 0.363 0.540 0.960
Dy 0.863 0.960 0.540
Dy 0.414 0.953 0.047
Dy 0.643 0.285 0.715
Dy 0.143 0.715 0.285
Dy 0.914 0.047 0.953
Dy 0.363 0.040 0.460
Dy 0.863 0.460 0.040
Dy 0.032 0.381 0.290
Dy 0.532 0.290 0.381
Tm 0.456 0.936 0.718
Tm 0.956 0.718 0.936
Tm 0.075 0.389 0.611
Tm 0.575 0.611 0.389
Tm 0.956 0.064 0.282
Tm 0.456 0.282 0.064

---

b:
A relaxed structure of PmDy6Tm3, computed with GGA-PBE.

## Properties
DOS at the Fermi energy: 2.054 states/eV per atom
V: 32.2 A^3/atom
crystal system: trigonal
SG: R3 (146)
M_tot: 0.00 μB per cell

Lattice parameters (Å, degrees): 9.735 9.735 6.852 44.74 44.74 60.00
Fractional positions:
Pm 0.899 0.899 0.304
Dy 0.905 0.566 0.293
Dy 0.236 0.905 0.293
Dy 0.566 0.236 0.293
Dy 0.069 0.406 0.791
Dy 0.734 0.069 0.791
Dy 0.406 0.734 0.791
Tm 0.396 0.396 0.811
Tm 0.641 0.641 0.076
Tm 0.147 0.147 0.559

---

Which of them is the most stable, and which is the least stable? a and b, in that order.